# Ag2Sn2I2Cl5, optimized geometry, DFT PBE
# - SG = I4/mmm (139)
# - formation energy (no corrections) (meV per atom) = -551
# - DOS(E_F) (states/eV/f.u.) = 5.29
# - crystal system = tetragonal
# - E (eV for the cell shown) = -32.11
# - magnetization (μB per cell) = 0.46
data_Ag2Sn2I2Cl5
_chemical_formula_sum 'Ag2 Sn2 I2 Cl5'
_space_group_name_H-M_alt 'P 1'
_space_group_IT_number 1
_cell_length_a 12.9814
_cell_length_b 12.9814
_cell_length_c 12.9814
_cell_angle_alpha 155.26
_cell_angle_beta 155.26
_cell_angle_gamma 35.27
loop_
_space_group_symop_operation_xyz
'x,y,z'
loop_
_atom_site_label
_atom_site_type_symbol
_atom_site_fract_x
_atom_site_fract_y
_atom_site_fract_z
Ag1 Ag 0.1444 0.1444 0.0000
Ag2 Ag 0.8556 0.8556 0.0000
Sn1 Sn 0.3930 0.3930 0.0000
Sn2 Sn 0.6070 0.6070 0.0000
I1 I 0.2554 0.2554 0.0000
I2 I 0.7446 0.7446 0.0000
Cl1 Cl 0.1113 0.6113 0.5000
Cl2 Cl 0.3887 0.8887 0.5000
Cl3 Cl 0.5000 0.5000 0.0000
Cl4 Cl 0.6113 0.1113 0.5000
Cl5 Cl 0.8887 0.3887 0.5000